Entry 1:
Computed, not measured: a relaxed Sc2WCl crystal at the PBE level of DFT.

Properties
Crystal system   tetragonal
Uncorrected formation energy   -0.36 eV per atom

Cell lengths 3.2377, 3.2377, 7.6902 Å; angles 90.00, 90.00, 90.00 degrees
With the nearest neighbours (Å) after each atom.
Space group P4/mmm (No. 123)
Symmetry-distinct sites (fractional):
Sc: 0.0000 0.0000 0.2189 x2  4 W 2.84, 4 Cl 3.15
W: 0.5000 0.5000 0.0000 x1  8 Sc 2.84
Cl: 0.5000 0.5000 0.5000 x1  8 Sc 3.15, 4 Cl 3.24

=====

Entry 2:
Computed, not measured: a relaxed Sc2WCl crystal at the PBE level of DFT.

Properties
Crystal system   tetragonal
Uncorrected formation energy   0.36 eV per atom

Cell lengths 7.2587, 7.2587, 6.0513 Å; angles 90.00, 90.00, 90.00 degrees
With the nearest neighbours (Å) after each atom.
Space group I-42d (No. 122)
Symmetry-distinct sites (fractional):
Sc: 0.2060 0.7500 0.1250 x8  2 Cl 2.47
W: 0.0000 0.0000 0.5000 x4  4 Sc 2.90, 2 Cl 3.03
Cl: 0.0000 0.0000 0.0000 x4  4 Sc 2.47

=====

Entry 3:
Computed, not measured: a relaxed Sc2WCl crystal at the PBE level of DFT.

Properties
Crystal system   orthorhombic
Uncorrected formation energy   0.23 eV per atom

Cell lengths 3.1056, 5.7834, 8.8482 Å; angles 90.00, 90.00, 90.00 degrees
With the nearest neighbours (Å) after each atom.
Space group Immm (No. 71)
Symmetry-distinct sites (fractional):
Sc: 0.0000 0.0000 0.2305 x4  2 Cl 2.56, 2 W 2.85
W: 0.0000 0.5000 0.0000 x2  4 Sc 2.85, 2 W 3.11
Cl: 0.0000 0.5000 0.5000 x2  4 Sc 2.56

=====

Entry 4:
Computed, not measured: a relaxed ScWCl crystal at the PBE level of DFT.

Properties
Crystal system   orthorhombic
Uncorrected formation energy   -0.01 eV per atom

Cell lengths 3.7439, 4.4549, 16.1229 Å; angles 90.00, 90.00, 90.00 degrees
With the nearest neighbours (Å) after each atom.
Space group Fmm2 (No. 42)
Symmetry-distinct sites (fractional):
Sc: 0.0000 0.0000 0.0000 x4  4 Cl 2.56-2.83, 2 W 2.85
W: 0.0000 0.0000 0.6329 x4  4 Sc 2.85-3.09, 4 W 2.91
Cl: 0.0000 0.0000 0.3915 x4  4 Sc 2.56-2.83

=====

Entry 5:
Computed, not measured: a relaxed ScWCl crystal at the PBE level of DFT.

Properties
Crystal system   trigonal
Uncorrected formation energy   -0.09 eV per atom

Cell lengths 3.0929, 3.0929, 7.9458 Å; angles 90.00, 90.00, 120.00 degrees
With the nearest neighbours (Å) after each atom.
Space group P3m1 (No. 156)
Symmetry-distinct sites (fractional):
Sc: 0.0000 0.0000 0.0000 x1  3 Cl 2.53
W: 0.6667 0.3333 0.2798 x1  3 Sc 2.85, 6 W 3.09
Cl: 0.3333 0.6667 0.7748 x1  3 Sc 2.53

=====

Entry 6:
Computed, not measured: a relaxed Sc2WCl crystal at the PBE level of DFT.

Properties
Crystal system   orthorhombic
Uncorrected formation energy   0.10 eV per atom

Cell lengths 3.0084, 4.9050, 10.9708 Å; angles 90.00, 90.00, 90.00 degrees
With the nearest neighbours (Å) after each atom.
Space group Imm2 (No. 44)
Symmetry-distinct sites (fractional):
Sc: 0.0000 0.0000 0.0000 x2  4 Cl 2.88, 2 W 2.88, 2 Sc 3.01
Sc: 0.0000 0.5000 0.2101 x2  2 Cl 2.72, 4 W 2.88, 2 Sc 3.01
W: 0.0000 0.5000 0.7242 x2  6 Sc 2.88, 2 W 3.01
Cl: 0.0000 0.0000 0.5034 x2  6 Sc 2.72-2.88, 2 Cl 3.01

=====

Entry 7:
Computed, not measured: a relaxed Sc2WCl crystal at the PBE level of DFT.

Properties
Crystal system   orthorhombic
Uncorrected formation energy   -0.05 eV per atom

Cell lengths 3.0236, 4.7819, 5.5337 Å; angles 90.00, 90.00, 90.00 degrees
With the nearest neighbours (Å) after each atom.
Space group Pmm2 (No. 25)
Symmetry-distinct sites (fractional):
Sc: 0.0000 0.0000 0.0000 x1  2 W 2.66-2.87, 4 Cl 2.85
Sc: 0.5000 0.5000 0.4092 x1  1 Cl 2.60, 4 W 2.86
W: 0.0000 0.0000 0.4810 x1  6 Sc 2.66-2.87
Cl: 0.5000 0.5000 0.9402 x1  5 Sc 2.60-2.85

=====

Entry 8:
Computed, not measured: a relaxed Sc2WCl crystal at the PBE level of DFT.

Properties
Crystal system   trigonal
Uncorrected formation energy   -0.19 eV per atom

Cell lengths 3.3655, 3.3655, 26.9981 Å; angles 90.00, 90.00, 120.00 degrees
With the nearest neighbours (Å) after each atom.
Space group R-3m (No. 166, hexagonal axes)
Symmetry-distinct sites (fractional):
Sc: 0.0000 0.0000 0.0929 x6  1 Cl 2.51, 3 W 2.78
W: 0.0000 0.0000 0.5000 x3  6 Sc 2.78
Cl: 0.0000 0.0000 0.0000 x3  2 Sc 2.51